## 1
Density functional theory data (PBE+U) for a relaxed Co2Pt2O5 crystal.

Output
Space-group type: P4/mmm

a b c (Å): 8.375 3.470 3.470
angles (deg): 90.00 90.00 90.00
Site moments in Bohr magnetons follow the coordinates.
Sites, in units of the cell vectors:
Co: 0.266 0.500 0.500  2.68
Co: 0.734 0.500 0.500  2.68
O: 0.143 0.500 0.000  0.08
O: 0.857 0.500 0.000  0.08
O: 0.143 0.000 0.500  0.07
O: 0.857 0.000 0.500  0.07
O: 0.500 0.500 0.500  0.14
Pt: 0.000 0.000 0.000  -0.16
Pt: 0.500 0.000 0.000  0.18

## 2
Density functional theory data (PBE+U) for a relaxed Co2Pt2O5 crystal.

Output
Space-group type: P4/mmm

a b c (Å): 6.637 3.924 3.924
angles (deg): 90.00 90.00 90.00
Site moments in Bohr magnetons follow the coordinates.
Sites, in units of the cell vectors:
Co: 0.000 0.000 0.000  2.67
Co: 0.500 0.000 0.000  2.73
O: 0.243 0.500 0.000  0.05
O: 0.757 0.500 0.000  0.05
O: 0.243 0.000 0.500  0.06
O: 0.757 0.000 0.500  0.06
O: 0.500 0.500 0.500  0.16
Pt: 0.189 0.500 0.500  0.04
Pt: 0.811 0.500 0.500  0.04

Stability order, top to bottom: 1, 2

## 1
Density functional theory data (PBE+U) for a relaxed CoTePtO crystal.

Output
Space-group type: Pbca

a b c (Å): 6.525 10.972 7.877
angles (deg): 90.00 90.00 90.00
Site moments in Bohr magnetons follow the coordinates.
Sites, in units of the cell vectors:
Co: 0.773 0.124 0.017  2.42
Co: 0.727 0.624 0.017  2.43
Co: 0.273 0.124 0.483  2.42
Co: 0.227 0.624 0.483  2.43
Co: 0.773 0.376 0.517  2.43
Co: 0.727 0.876 0.517  2.42
Co: 0.273 0.376 0.983  2.43
Co: 0.227 0.876 0.983  2.42
O: 0.245 0.222 0.094  0.11
O: 0.255 0.722 0.094  0.11
O: 0.745 0.222 0.406  0.11
O: 0.755 0.722 0.406  0.11
O: 0.245 0.278 0.594  0.11
O: 0.255 0.778 0.594  0.11
O: 0.745 0.278 0.906  0.11
O: 0.755 0.778 0.906  0.11
Pt: 0.503 0.224 0.243  0.11
Pt: 0.997 0.724 0.243  0.12
Pt: 0.003 0.224 0.257  0.12
Pt: 0.497 0.724 0.257  0.11
Pt: 0.503 0.276 0.743  0.11
Pt: 0.997 0.776 0.743  0.12
Pt: 0.003 0.276 0.757  0.12
Pt: 0.497 0.776 0.757  0.11
Te: 0.995 0.475 0.246  0.00
Te: 0.505 0.975 0.246  -0.01
Te: 0.495 0.475 0.254  -0.01
Te: 0.005 0.975 0.254  0.00
Te: 0.995 0.025 0.746  0.00
Te: 0.505 0.525 0.746  -0.01
Te: 0.495 0.025 0.754  -0.01
Te: 0.005 0.525 0.754  0.00

## 2
Density functional theory data (PBE+U) for a relaxed CoTePtO crystal.

Output
Space-group type: P4/nmm

a b c (Å): 4.007 4.007 8.068
angles (deg): 90.00 90.00 90.00
Site moments in Bohr magnetons follow the coordinates.
Sites, in units of the cell vectors:
Co: 0.000 0.000 0.000  2.34
Co: 0.500 0.500 0.000  2.34
O: 0.500 0.000 0.483  0.01
O: 0.000 0.500 0.517  0.01
Pt: 0.500 0.000 0.218  0.15
Pt: 0.000 0.500 0.782  0.15
Te: 0.000 0.500 0.283  -0.01
Te: 0.500 0.000 0.717  -0.01

## 3
Density functional theory data (PBE+U) for a relaxed CoTePtO crystal.

Output
Space-group type: Pca2_1

a b c (Å): 7.340 6.865 5.645
angles (deg): 90.00 90.00 90.00
Sites, in units of the cell vectors:
Co: 0.250 0.012 0.124
Co: 0.750 0.988 0.124
Co: 0.250 0.012 0.624
Co: 0.750 0.988 0.624
O: 0.692 0.159 0.374
O: 0.192 0.841 0.374
O: 0.808 0.159 0.874
O: 0.308 0.841 0.874
Pt: 0.438 0.290 0.375
Pt: 0.938 0.710 0.375
Pt: 0.062 0.290 0.875
Pt: 0.562 0.710 0.875
Te: 0.087 0.340 0.377
Te: 0.587 0.660 0.377
Te: 0.413 0.340 0.877
Te: 0.913 0.660 0.877

Stability order, top to bottom: 3, 1, 2

## 1
Density functional theory data (PBE+U) for a relaxed CoTePtO crystal.

Output
Space-group type: P4/nmm

a b c (Å): 3.759 3.759 9.525
angles (deg): 90.00 90.00 90.00
Site moments in Bohr magnetons follow the coordinates.
Sites, in units of the cell vectors:
Co: 0.750 0.750 0.153  1.43
Co: 0.250 0.250 0.847  1.43
O: 0.750 0.750 0.343  0.13
O: 0.250 0.250 0.657  0.13
Pt: 0.750 0.250 0.500  0.12
Pt: 0.250 0.750 0.500  0.12
Te: 0.250 0.250 0.123  -0.18
Te: 0.750 0.750 0.877  -0.18

## 2
Density functional theory data (PBE+U) for a relaxed CoTePtO crystal.

Output
Space-group type: P4/nmm

a b c (Å): 3.835 3.835 8.893
angles (deg): 90.00 90.00 90.00
Sites, in units of the cell vectors:
Co: 0.750 0.750 0.441
Co: 0.250 0.250 0.559
O: 0.750 0.250 0.500
O: 0.250 0.750 0.500
Pt: 0.750 0.750 0.114
Pt: 0.250 0.250 0.886
Te: 0.250 0.250 0.186
Te: 0.750 0.750 0.814

## 3
Density functional theory data (PBE+U) for a relaxed CoTePtO crystal.

Output
Space-group type: Pca2_1

a b c (Å): 6.757 6.849 5.974
angles (deg): 90.00 90.00 90.00
Sites, in units of the cell vectors:
Co: 0.853 0.278 0.037
Co: 0.353 0.722 0.037
Co: 0.647 0.278 0.537
Co: 0.147 0.722 0.537
O: 0.045 0.111 0.169
O: 0.545 0.889 0.169
O: 0.455 0.111 0.669
O: 0.955 0.889 0.669
Pt: 0.254 0.125 0.411
Pt: 0.754 0.875 0.411
Pt: 0.246 0.125 0.911
Pt: 0.746 0.875 0.911
Te: 0.485 0.360 0.132
Te: 0.985 0.640 0.132
Te: 0.015 0.360 0.632
Te: 0.515 0.640 0.632

## 4
Density functional theory data (PBE+U) for a relaxed CoTePtO crystal.

Output
Space-group type: P4/nmm

a b c (Å): 5.063 5.063 6.189
angles (deg): 90.00 90.00 90.00
Sites, in units of the cell vectors:
Co: 0.250 0.250 0.283
Co: 0.750 0.750 0.717
O: 0.250 0.250 0.009
O: 0.750 0.750 0.991
Pt: 0.750 0.750 0.312
Pt: 0.250 0.250 0.688
Te: 0.750 0.250 0.500
Te: 0.250 0.750 0.500

Stability order, top to bottom: 2, 3, 4, 1

## 1
Density functional theory data (PBE+U) for a relaxed CoTePtO crystal.

Output
Space-group type: P4/nmm

a b c (Å): 5.137 5.137 6.413
angles (deg): 90.00 90.00 90.00
Sites, in units of the cell vectors:
Co: 0.750 0.750 0.018
Co: 0.250 0.250 0.982
O: 0.250 0.250 0.248
O: 0.750 0.750 0.752
Pt: 0.750 0.750 0.391
Pt: 0.250 0.250 0.609
Te: 0.750 0.250 0.500
Te: 0.250 0.750 0.500

## 2
Density functional theory data (PBE+U) for a relaxed CoTePtO crystal.

Output
Space-group type: P4/nmm

a b c (Å): 3.807 3.807 9.145
angles (deg): 90.01 90.00 90.00
Site moments in Bohr magnetons follow the coordinates.
Sites, in units of the cell vectors:
Co: 0.000 0.500 0.430  2.66
Co: 0.500 0.000 0.569  2.65
O: 0.000 0.000 0.500  0.12
O: 0.500 0.500 0.500  0.12
Pt: 0.000 0.500 0.111  0.01
Pt: 0.500 0.000 0.889  0.01
Te: 0.500 0.000 0.181  0.00
Te: 0.000 0.500 0.819  0.00

Stability order, top to bottom: 2, 1

## 1
Density functional theory data (PBE+U) for a relaxed RbCoSO crystal.

Output
Space-group type: Pca2_1

a b c (Å): 7.210 8.141 6.230
angles (deg): 90.00 90.00 90.00
Sites, in units of the cell vectors:
Co: 0.915 0.369 0.030
Co: 0.415 0.631 0.030
Co: 0.585 0.369 0.530
Co: 0.085 0.631 0.530
O: 0.001 0.172 0.036
O: 0.501 0.828 0.036
O: 0.499 0.172 0.536
O: 0.999 0.828 0.536
Rb: 0.397 0.156 0.004
Rb: 0.897 0.844 0.004
Rb: 0.103 0.156 0.504
Rb: 0.603 0.844 0.504
S: 0.640 0.458 0.180
S: 0.140 0.542 0.180
S: 0.860 0.458 0.680
S: 0.360 0.542 0.680

## 2
Density functional theory data (PBE+U) for a relaxed RbCoSO crystal.

Output
Space-group type: Pmc2_1

a b c (Å): 3.741 7.807 6.319
angles (deg): 90.00 90.00 90.00
Sites, in units of the cell vectors:
Co: 0.500 0.900 0.043
Co: 0.500 0.100 0.543
O: 0.500 0.063 0.252
O: 0.500 0.937 0.752
Rb: 0.000 0.304 0.097
Rb: 0.000 0.696 0.597
S: 0.000 0.730 0.099
S: 0.000 0.270 0.599

## 3
Density functional theory data (PBE+U) for a relaxed RbCoSO crystal.

Output
Space-group type: P4/nmm

a b c (Å): 4.251 4.251 9.571
angles (deg): 90.00 90.00 90.00
Sites, in units of the cell vectors:
Co: 0.750 0.750 0.046
Co: 0.250 0.250 0.954
O: 0.750 0.250 0.000
O: 0.250 0.750 0.000
Rb: 0.750 0.250 0.500
Rb: 0.250 0.750 0.500
S: 0.750 0.750 0.272
S: 0.250 0.250 0.728

Stability order, top to bottom: 2, 1, 3

## 1
Density functional theory data (PBE+U) for a relaxed ZnCoSO crystal.

Output
Space-group type: P2_12_12_1

a b c (Å): 5.601 6.668 6.787
angles (deg): 90.00 90.00 90.00
Sites, in units of the cell vectors:
Co: 0.262 0.618 0.173
Co: 0.738 0.118 0.327
Co: 0.238 0.382 0.673
Co: 0.762 0.882 0.827
O: 0.536 0.192 0.117
O: 0.464 0.692 0.383
O: 0.964 0.808 0.617
O: 0.036 0.308 0.883
S: 0.971 0.878 0.127
S: 0.029 0.378 0.373
S: 0.529 0.122 0.627
S: 0.471 0.622 0.873
Zn: 0.198 0.173 0.101
Zn: 0.802 0.673 0.399
Zn: 0.302 0.827 0.601
Zn: 0.698 0.327 0.899

## 2
Density functional theory data (PBE+U) for a relaxed ZnCoSO crystal.

Output
Space-group type: Pbca

a b c (Å): 6.577 6.592 10.607
angles (deg): 90.00 90.00 90.00
Site moments in Bohr magnetons follow the coordinates.
Sites, in units of the cell vectors:
Co: 0.675 0.456 0.226  2.69
Co: 0.825 0.956 0.226  2.69
Co: 0.175 0.456 0.274  2.69
Co: 0.325 0.956 0.274  2.69
Co: 0.675 0.044 0.726  2.69
Co: 0.825 0.544 0.726  2.69
Co: 0.175 0.044 0.774  2.69
Co: 0.325 0.544 0.774  2.69
O: 0.927 0.271 0.242  0.14
O: 0.573 0.771 0.242  0.14
O: 0.427 0.271 0.258  0.14
O: 0.073 0.771 0.258  0.14
O: 0.927 0.229 0.742  0.14
O: 0.573 0.729 0.742  0.14
O: 0.427 0.229 0.758  0.14
O: 0.073 0.729 0.758  0.14
S: 0.247 0.028 0.006  0.05
S: 0.253 0.528 0.006  0.06
S: 0.747 0.028 0.494  0.05
S: 0.753 0.528 0.494  0.06
S: 0.247 0.472 0.506  0.06
S: 0.253 0.972 0.506  0.05
S: 0.747 0.472 0.994  0.06
S: 0.753 0.972 0.994  0.05
Zn: 0.997 0.253 0.059  0.01
Zn: 0.503 0.753 0.059  0.01
Zn: 0.497 0.253 0.441  0.01
Zn: 0.003 0.753 0.441  0.01
Zn: 0.997 0.247 0.559  0.01
Zn: 0.503 0.747 0.559  0.01
Zn: 0.497 0.247 0.941  0.01
Zn: 0.003 0.747 0.941  0.01

Stability order, top to bottom: 1, 2